Record 1
# KHf3Si GGA-PBE optimized geometry
# - E_form (uncorrected): 2301 meV per atom
# - Offset from the most stable computed form: 7.914 eV per formula unit
# - Total DFT energy (no corrections): -24.87 eV/cell
data_KHf3Si
_chemical_formula_sum 'K1 Hf3 Si1'
_symmetry_space_group_name_H-M 'P m -3 m'
_symmetry_Int_Tables_number 221
_symmetry_space_group_name_Hall '-P 4 2 3'
_cell_length_a 4.816
_cell_length_b 4.816
_cell_length_c 4.816
_cell_angle_alpha 90.00
_cell_angle_beta 90.00
_cell_angle_gamma 90.00
loop_
_atom_site_label
_atom_site_fract_x
_atom_site_fract_y
_atom_site_fract_z
K1 0.000 0.000 0.000
Hf1 0.000 0.000 0.500
Si1 0.500 0.500 0.500

---

Record 2
# KHfSi3 GGA-PBE optimized geometry
# - E_form (uncorrected): 2026 meV per atom
# - Offset from the most stable computed form: 8.420 eV per formula unit
# - Total DFT energy (no corrections): -17.19 eV/cell
data_KHfSi3
_chemical_formula_sum 'K1 Hf1 Si3'
_symmetry_space_group_name_H-M 'P m -3 m'
_symmetry_Int_Tables_number 221
_symmetry_space_group_name_Hall '-P 4 2 3'
_cell_length_a 4.903
_cell_length_b 4.903
_cell_length_c 4.903
_cell_angle_alpha 90.00
_cell_angle_beta 90.00
_cell_angle_gamma 90.00
loop_
_atom_site_label
_atom_site_fract_x
_atom_site_fract_y
_atom_site_fract_z
K1 0.000 0.000 0.000
Hf1 0.500 0.500 0.500
Si1 0.000 0.000 0.500

---

Record 3
# KHf3Si GGA-PBE optimized geometry
# - E_form (uncorrected): 719 meV per atom
# - Offset from the most stable computed form: 0.000 eV per formula unit
# - Total DFT energy (no corrections): -32.79 eV/cell
data_KHf3Si
_chemical_formula_sum 'K1 Hf3 Si1'
_symmetry_space_group_name_H-M 'P m -3 m'
_symmetry_Int_Tables_number 221
_symmetry_space_group_name_Hall '-P 4 2 3'
_cell_length_a 5.114
_cell_length_b 5.114
_cell_length_c 5.114
_cell_angle_alpha 90.00
_cell_angle_beta 90.00
_cell_angle_gamma 90.00
loop_
_atom_site_label
_atom_site_fract_x
_atom_site_fract_y
_atom_site_fract_z
K1 0.000 0.000 0.000
Hf1 0.000 0.500 0.500
Si1 0.500 0.500 0.500

---

Record 4
# KHfSi3 GGA-PBE optimized geometry
# - E_form (uncorrected): 342 meV per atom
# - Offset from the most stable computed form: 0.000 eV per formula unit
# - Total DFT energy (no corrections): -25.61 eV/cell
data_KHfSi3
_chemical_formula_sum 'K1 Hf1 Si3'
_symmetry_space_group_name_H-M 'P m -3 m'
_symmetry_Int_Tables_number 221
_symmetry_space_group_name_Hall '-P 4 2 3'
_cell_length_a 5.141
_cell_length_b 5.141
_cell_length_c 5.141
_cell_angle_alpha 90.00
_cell_angle_beta 90.00
_cell_angle_gamma 90.00
loop_
_atom_site_label
_atom_site_fract_x
_atom_site_fract_y
_atom_site_fract_z
K1 0.000 0.000 0.000
Hf1 0.500 0.500 0.500
Si1 0.000 0.500 0.500